[1]
Material: CsTl2Hg9
Method: DFT, PBE
State: optimized geometry

Output
Excess energy over the best structure of this formula in the dataset, meV per atom: 0.0
Space group: P-1 (2)
Formation energy, eV per atom: -0.082
DOS(E_F), states/eV/cell: 3.32

Lattice parameters (Å, degrees): 7.939 7.981 14.005 41.22 43.18 50.29
Fractional coordinates of all 12 atoms:
Tl1 0.251 0.248 0.508
Tl2 0.749 0.752 0.492
Hg1 0.441 0.439 0.938
Hg2 0.116 0.249 0.345
Hg3 0.639 0.140 0.791
Hg4 0.867 0.345 0.207
Hg5 0.500 0.500 0.500
Hg6 0.559 0.561 0.062
Hg7 0.884 0.751 0.655
Hg8 0.133 0.655 0.793
Hg9 0.361 0.860 0.209
Cs1 0.000 0.000 0.000

[2]
Material: Cs2TlZnHg
Method: DFT, PBE
State: optimized geometry

Output
Excess energy over the best structure of this formula in the dataset, meV per atom: 0.0
Space group: P4/mmm (123)
Formation energy, eV per atom: 0.055
DOS(E_F), states/eV/cell: 6.22

Lattice parameters (Å, degrees): 7.211 7.211 5.355 90.00 90.00 90.00
Fractional coordinates of all 5 atoms:
Hg1 0.500 0.500 0.500
Cs1 0.000 0.500 0.000
Cs2 0.500 0.000 0.000
Zn1 0.000 0.000 0.000
Tl1 0.000 0.000 0.500